1.
Computed, not measured: a relaxed structure of LaPrPd10 at the PBE level of DFT.

Lattice parameters (Å, degrees): 4.5004 5.3889 9.3154 90.00 90.00 90.00
Closest atoms and distances in Å follow each position.
Atoms (fractional coordinates):
La: 0.0000 0.0000 0.0000  6 Pd 3.11
Pr: 0.0000 0.5000 0.5000  6 Pd 3.11
Pd: 0.0000 0.0000 0.3335  6 Pd 2.73
Pd: 0.0000 0.0000 0.6665  6 Pd 2.73
Pd: 0.0000 0.5000 0.1666  6 Pd 2.73-2.74
Pd: 0.0000 0.5000 0.8334  6 Pd 2.73-2.74
Pd: 0.5000 0.0000 0.5000  8 Pd 2.69-2.73
Pd: 0.5000 0.2505 0.2508  8 Pd 2.69-2.74
Pd: 0.5000 0.2505 0.7492  8 Pd 2.69-2.74
Pd: 0.5000 0.5000 0.0000  8 Pd 2.70-2.73
Pd: 0.5000 0.7495 0.2508  8 Pd 2.69-2.74
Pd: 0.5000 0.7495 0.7492  8 Pd 2.69-2.74

Calculated values
DFT total energy   -5.683 eV per atom
Total magnetic moment   0.00 μB/f.u.
ρ   9.88 g/cm³
SG   No. 47
DFT formation energy   -12.60 kcal/mol of atoms


2.
Computed, not measured: a relaxed structure of LaPrPd2 at the PBE level of DFT.

Lattice parameters (Å, degrees): 5.1868 5.1868 5.1868 60.00 60.00 60.00
Closest atoms and distances in Å follow each position.
Atoms (fractional coordinates):
La: 0.0000 0.0000 0.0000  8 Pd 3.18
Pr: 0.5000 0.5000 0.5000  8 Pd 3.18
Pd: 0.2500 0.2500 0.2500  4 La 3.18, 4 Pr 3.18
Pd: 0.7500 0.7500 0.7500  4 La 3.18, 4 Pr 3.18

Calculated values
Energy above the lowest structure with this stoichiometry   83 meV/atom
DFT total energy   -5.749 eV per atom
Total magnetic moment   0.00 μB/f.u.
ρ   8.29 g/cm³
SG   No. 225
DFT formation energy   -16.75 kcal/mol of atoms


3.
Computed, not measured: a relaxed structure of La2PrPd at the PBE level of DFT.

Lattice parameters (Å, degrees): 7.3771 10.3513 6.6723 90.00 90.00 90.00
Closest atoms and distances in Å follow each position.
Atoms (fractional coordinates):
La: 0.1784 0.0605 0.1655  2 Pd 2.98-2.99
La: 0.1784 0.4395 0.1655  2 Pd 2.98-2.99
La: 0.3216 0.5605 0.6655  2 Pd 2.98-2.99
La: 0.3216 0.9395 0.6655  2 Pd 2.98-2.99
La: 0.6784 0.0605 0.3345  2 Pd 2.98-2.99
La: 0.6784 0.4395 0.3345  2 Pd 2.98-2.99
La: 0.8216 0.5605 0.8345  2 Pd 2.98-2.99
La: 0.8216 0.9395 0.8345  2 Pd 2.98-2.99
Pr: 0.0254 0.2500 0.6484  2 Pd 3.06-3.10
Pr: 0.4746 0.7500 0.1484  2 Pd 3.06-3.10
Pr: 0.5254 0.2500 0.8516  2 Pd 3.06-3.10
Pr: 0.9746 0.7500 0.3516  2 Pd 3.06-3.10
Pd: 0.1182 0.7500 0.9146  4 La 2.98-2.99, 2 Pr 3.06-3.10
Pd: 0.3818 0.2500 0.4146  4 La 2.98-2.99, 2 Pr 3.06-3.10
Pd: 0.6182 0.7500 0.5854  4 La 2.98-2.99, 2 Pr 3.06-3.10
Pd: 0.8818 0.2500 0.0854  4 La 2.98-2.99, 2 Pr 3.06-3.10

Calculated values
Energy above the lowest structure with this stoichiometry   0 meV/atom
DFT total energy   -5.369 eV per atom
Total magnetic moment   0.00 μB/f.u.
ρ   6.85 g/cm³
SG   No. 62
DFT formation energy   -9.50 kcal/mol of atoms


4.
Computed, not measured: a relaxed structure of La3Pr3Pd4 at the PBE level of DFT.

Lattice parameters (Å, degrees): 4.0660 8.1833 8.1833 89.56 90.00 90.00
Closest atoms and distances in Å follow each position.
Atoms (fractional coordinates):
La: 0.0000 0.0000 0.0000  6 Pd 3.14-3.16
La: 0.0000 0.4985 0.8351  6 Pd 3.12-3.18
La: 0.0000 0.8351 0.4985  6 Pd 3.12-3.18
Pr: 0.0000 0.3347 0.3347  6 Pd 3.14-3.18
Pr: 0.5000 0.1681 0.6641  4 Pd 3.21-3.24
Pr: 0.5000 0.6641 0.1681  4 Pd 3.21-3.24
Pd: 0.5000 0.0386 0.2924  1 Pd 2.93, 4 La 3.12-3.16, 4 Pr 3.18-3.24
Pd: 0.5000 0.2924 0.0386  1 Pd 2.93, 4 La 3.12-3.16, 4 Pr 3.18-3.24
Pd: 0.5000 0.5410 0.5410  1 Pd 2.94, 4 Pr 3.14-3.21, 4 La 3.17
Pd: 0.5000 0.7944 0.7944  1 Pd 2.94, 6 La 3.14-3.18, 2 Pr 3.23

Calculated values
DFT total energy   -5.628 eV per atom
Total magnetic moment   0.00 μB/f.u.
ρ   7.72 g/cm³
SG   No. 38
DFT formation energy   -14.74 kcal/mol of atoms


5.
Computed, not measured: a relaxed structure of LaPrPd at the PBE level of DFT.

Lattice parameters (Å, degrees): 6.8253 6.8253 6.8253 148.29 148.29 45.45
Closest atoms and distances in Å follow each position.
Atoms (fractional coordinates):
La: 0.0000 0.0000 0.0000  4 Pd 3.15, 1 Pr 3.47
Pr: 0.7244 0.7244 0.0000  4 Pd 3.17, 1 La 3.47
Pd: 0.3637 0.3637 0.0000  4 La 3.15, 4 Pr 3.17

Calculated values
Energy above the lowest structure with this stoichiometry   55 meV/atom
DFT total energy   -5.413 eV per atom
Total magnetic moment   0.80 μB/f.u.
ρ   7.33 g/cm³
SG   No. 107
DFT formation energy   -10.29 kcal/mol of atoms


6.
Computed, not measured: a relaxed structure of La3PrPd3 at the PBE level of DFT.

Lattice parameters (Å, degrees): 7.2515 7.2515 7.4515 91.80 91.80 95.78
Closest atoms and distances in Å follow each position.
Atoms (fractional coordinates):
La: 0.1846 0.8154 0.0000  4 Pd 3.03-3.04
La: 0.2538 0.7462 0.5000  6 Pd 2.98-3.17
La: 0.3428 0.3428 0.1109  3 Pd 2.91-3.18
La: 0.6572 0.6572 0.8891  3 Pd 2.91-3.18
La: 0.7462 0.2538 0.5000  6 Pd 2.98-3.17
La: 0.8154 0.1846 0.0000  4 Pd 3.03-3.04
Pr: 0.2532 0.2532 0.6207  4 Pd 2.98-3.09
Pr: 0.7468 0.7468 0.3793  4 Pd 2.98-3.09
Pd: 0.0134 0.4670 0.2690  4 La 2.91-3.04, 1 Pd 3.04, 1 Pr 3.05
Pd: 0.0564 0.0564 0.3012  2 Pr 2.98-3.09, 5 La 3.03-3.18, 3 Pd 3.04-3.21
Pd: 0.4670 0.0134 0.2690  4 La 2.91-3.04, 1 Pd 3.04, 1 Pr 3.05
Pd: 0.5330 0.9866 0.7310  4 La 2.91-3.04, 1 Pd 3.04, 1 Pr 3.05
Pd: 0.9436 0.9436 0.6988  2 Pr 2.98-3.09, 5 La 3.03-3.18, 3 Pd 3.04-3.21
Pd: 0.9866 0.5330 0.7310  4 La 2.91-3.04, 1 Pd 3.04, 1 Pr 3.05

Calculated values
DFT total energy   -5.641 eV per atom
Total magnetic moment   0.00 μB/f.u.
ρ   7.48 g/cm³
SG   No. 12
DFT formation energy   -14.33 kcal/mol of atoms


7.
Computed, not measured: a relaxed structure of La2PrPd at the PBE level of DFT.

Lattice parameters (Å, degrees): 9.9255 9.9255 9.9255 23.28 23.28 23.28
Closest atoms and distances in Å follow each position.
Atoms (fractional coordinates):
La: 0.0000 0.0000 0.0000  3 Pd 2.96
La: 0.2057 0.2057 0.2057  3 Pd 2.96
Pr: 0.7698 0.7698 0.7698  6 La 3.76-3.78, 6 Pr 4.01
Pd: 0.6030 0.6030 0.6030  6 La 2.96

Calculated values
Energy above the lowest structure with this stoichiometry   110 meV/atom
DFT total energy   -5.259 eV per atom
Total magnetic moment   0.00 μB/f.u.
ρ   6.50 g/cm³
SG   No. 160
DFT formation energy   -6.97 kcal/mol of atoms


8.
Computed, not measured: a relaxed structure of LaPrPd2 at the PBE level of DFT.

Lattice parameters (Å, degrees): 5.2228 5.2228 3.6023 90.00 90.00 90.00
Closest atoms and distances in Å follow each position.
Atoms (fractional coordinates):
La: 0.0000 0.0000 0.0000  8 Pd 3.17
Pr: 0.5000 0.5000 0.0000  8 Pd 3.17
Pd: 0.0000 0.5000 0.5000  4 La 3.17, 4 Pr 3.17
Pd: 0.5000 0.0000 0.5000  4 La 3.17, 4 Pr 3.17

Calculated values
Energy above the lowest structure with this stoichiometry   75 meV/atom
DFT total energy   -5.757 eV per atom
Total magnetic moment   0.00 μB/f.u.
ρ   8.33 g/cm³
SG   No. 123
DFT formation energy   -16.92 kcal/mol of atoms


9.
Computed, not measured: a relaxed structure of LaPrPd at the PBE level of DFT.

Lattice parameters (Å, degrees): 6.5969 7.5786 7.3770 90.00 90.11 90.00
Closest atoms and distances in Å follow each position.
Atoms (fractional coordinates):
La: 0.0793 0.2498 0.0000  4 Pd 2.98-3.01
La: 0.0793 0.2502 0.5000  4 Pd 2.98-3.01
La: 0.9207 0.7502 0.0000  4 Pd 2.98-3.01
La: 0.9207 0.7498 0.5000  4 Pd 2.98-3.01
Pr: 0.3974 0.6010 0.2496  2 Pd 2.95-2.99
Pr: 0.3974 0.8990 0.7496  2 Pd 2.95-2.99
Pr: 0.6026 0.1010 0.2504  2 Pd 2.95-2.99
Pr: 0.6026 0.3990 0.7504  2 Pd 2.95-2.99
Pd: 0.1897 0.5482 0.7509  2 Pr 2.95-2.99, 4 La 2.98-3.01
Pd: 0.1897 0.9518 0.2509  2 Pr 2.95-2.99, 4 La 2.98-3.01
Pd: 0.8103 0.0482 0.7491  2 Pr 2.95-2.99, 4 La 2.98-3.01
Pd: 0.8103 0.4518 0.2491  2 Pr 2.95-2.99, 4 La 2.98-3.01

Calculated values
Energy above the lowest structure with this stoichiometry   0 meV/atom
DFT total energy   -5.468 eV per atom
Total magnetic moment   0.00 μB/f.u.
ρ   6.96 g/cm³
SG   No. 14
DFT formation energy   -11.55 kcal/mol of atoms


10.
Computed, not measured: a relaxed structure of LaPrPd2 at the PBE level of DFT.

Lattice parameters (Å, degrees): 4.6667 5.8666 5.8666 39.45 90.00 90.00
Closest atoms and distances in Å follow each position.
Atoms (fractional coordinates):
La: 0.0000 0.0000 0.0000  7 Pd 3.06-3.16
Pr: 0.5000 0.2710 0.2710  7 Pd 3.07-3.15
Pd: 0.0000 0.7228 0.7228  2 Pd 3.02, 3 La 3.06-3.16, 4 Pr 3.11
Pd: 0.5000 0.5489 0.5489  2 Pd 3.02, 3 Pr 3.07-3.15, 4 La 3.11

Calculated values
Energy above the lowest structure with this stoichiometry   0 meV/atom
DFT total energy   -5.832 eV per atom
Total magnetic moment   0.00 μB/f.u.
ρ   8.02 g/cm³
SG   No. 38
DFT formation energy   -18.66 kcal/mol of atoms


11.
Computed, not measured: a relaxed structure of LaPrPd2 at the PBE level of DFT.

Lattice parameters (Å, degrees): 7.4086 7.4086 7.4086 33.28 33.28 33.28
Closest atoms and distances in Å follow each position.
Atoms (fractional coordinates):
La: 0.0000 0.0000 0.0000  6 Pd 3.01
Pr: 0.5000 0.5000 0.5000  6 Pd 3.01
Pd: 0.2504 0.2504 0.2504  3 La 3.01, 3 Pr 3.01
Pd: 0.7496 0.7496 0.7496  3 La 3.01, 3 Pr 3.01

Calculated values
Energy above the lowest structure with this stoichiometry   98 meV/atom
DFT total energy   -5.734 eV per atom
Total magnetic moment   0.00 μB/f.u.
ρ   7.50 g/cm³
SG   No. 166
DFT formation energy   -16.40 kcal/mol of atoms


12.
Computed, not measured: a relaxed structure of LaPrPd2 at the PBE level of DFT.

Lattice parameters (Å, degrees): 7.6457 7.6457 7.6457 31.81 31.81 31.81
Closest atoms and distances in Å follow each position.
Atoms (fractional coordinates):
La: 0.0000 0.0000 0.0000  6 Pd 2.97-3.04
Pr: 0.1725 0.1725 0.1725  6 Pd 3.00-3.09
Pd: 0.5873 0.5873 0.5873  3 La 2.97, 3 Pr 3.00
Pd: 0.7510 0.7510 0.7510  3 La 3.04, 3 Pr 3.09

Calculated values
Energy above the lowest structure with this stoichiometry   154 meV/atom
DFT total energy   -5.678 eV per atom
Total magnetic moment   0.00 μB/f.u.
ρ   7.42 g/cm³
SG   No. 160
DFT formation energy   -15.10 kcal/mol of atoms


Results for DOS(E_F): 1.02, 1.12, 1.29, 0.79, 1.25, 0.94, 1.21, 0.75, 1.12, 0.63, 0.57, 0.73 (in states/eV/atom, following the order of the records).